Here is a relaxed DyPd2O4 crystal from Alexandria. Energies are from PBE.

abc: 7.4997 6.5501 5.8809
angles: 73.99 57.09 48.92
With the nearest neighbours (Å) after each atom.
Element x y z (fractional)
1 Dy 0.1250 0.1250 0.1250  8 O 2.32-2.56
2 Dy 0.8750 0.8750 0.8750  8 O 2.32-2.56
3 Pd 0.0000 0.5000 0.5000  4 O 2.03-2.06
4 Pd 0.5000 0.0000 0.5000  4 O 2.03-2.06
5 Pd 0.5000 0.5000 0.0000  4 O 2.03-2.06
6 Pd 0.5000 0.5000 0.5000  4 O 2.03-2.06
7 O 0.1576 0.3647 0.7501  2 Pd 2.03-2.06
8 O 0.2276 0.7501 0.3647  2 Pd 2.03-2.06
9 O 0.2499 0.7724 0.8424  2 Pd 2.03-2.06
10 O 0.3647 0.1576 0.2276  2 Pd 2.03-2.06
11 O 0.6353 0.8424 0.7724  2 Pd 2.03-2.06
12 O 0.7501 0.2276 0.1576  2 Pd 2.03-2.06
13 O 0.7724 0.2499 0.6353  2 Pd 2.03-2.06
14 O 0.8424 0.6353 0.2499  2 Pd 2.03-2.06

Its formation energy from raw total energies is -31.77 kcal/mol of atoms. The calculation puts the volume at 12.95 Å³ per atom.


Here is a relaxed MgSi2Os crystal from Alexandria. Energies are from PBE.

abc: 3.8668 3.8668 3.7886
angles: 90.00 90.00 90.00
With the nearest neighbours (Å) after each atom.
Element x y z (fractional)
1 Mg 0.0000 0.0000 0.0000  8 Si 2.71, 4 Os 2.73
2 Si 0.0000 0.5000 0.5000  4 Os 2.71, 4 Mg 2.71, 4 Si 2.73
3 Si 0.5000 0.0000 0.5000  4 Os 2.71, 4 Mg 2.71, 4 Si 2.73
4 Os 0.5000 0.5000 0.0000  8 Si 2.71, 4 Mg 2.73

Its formation energy from raw total energies is 3.64 kcal/mol of atoms. The calculation puts the volume at 14.16 Å³ per atom.


Here is a relaxed TbNdTlSn crystal from Alexandria. Energies are from PBE.

abc: 7.6957 7.6957 7.6957
angles: 90.00 90.00 90.00
With the nearest neighbours (Å) after each atom.
Element x y z (fractional)
1 Tb 0.0000 0.0000 0.0000  4 Tl 3.33, 4 Sn 3.33
2 Tb 0.0000 0.5000 0.5000  4 Tl 3.33, 4 Sn 3.33
3 Tb 0.5000 0.0000 0.5000  4 Tl 3.33, 4 Sn 3.33
4 Tb 0.5000 0.5000 0.0000  4 Tl 3.33, 4 Sn 3.33
5 Nd 0.0000 0.0000 0.5000  4 Tl 3.33, 4 Sn 3.33
6 Nd 0.0000 0.5000 0.0000  4 Tl 3.33, 4 Sn 3.33
7 Nd 0.5000 0.0000 0.0000  4 Tl 3.33, 4 Sn 3.33
8 Nd 0.5000 0.5000 0.5000  4 Tl 3.33, 4 Sn 3.33
9 Tl 0.2500 0.2500 0.2500  4 Tb 3.33, 4 Nd 3.33
10 Tl 0.2500 0.7500 0.7500  4 Nd 3.33, 4 Tb 3.33
11 Tl 0.7500 0.2500 0.7500  4 Nd 3.33, 4 Tb 3.33
12 Tl 0.7500 0.7500 0.2500  4 Nd 3.33, 4 Tb 3.33
13 Sn 0.2500 0.2500 0.7500  4 Tb 3.33, 4 Nd 3.33
14 Sn 0.2500 0.7500 0.2500  4 Tb 3.33, 4 Nd 3.33
15 Sn 0.7500 0.2500 0.2500  4 Tb 3.33, 4 Nd 3.33
16 Sn 0.7500 0.7500 0.7500  4 Tb 3.33, 4 Nd 3.33

The calculation puts the polymorph energy (0 for the lowest one) at 75 meV/atom. The formation energy comes out at -484 meV/atom. The calculation puts the volume at 28.49 Å³ per atom.


Here is a relaxed Rb2HgSeF6 crystal from Alexandria. Energies are from PBE.

abc: 6.8670 6.8670 6.8670
angles: 124.57 124.57 82.25
With the nearest neighbours (Å) after each atom.
Element x y z (fractional)
1 Rb 0.2500 0.7500 0.5000  12 F 3.23-3.44
2 Rb 0.7500 0.2500 0.5000  12 F 3.23-3.44
3 Hg 0.0000 0.0000 0.0000  2 F 2.09
4 Se 0.5000 0.5000 0.0000  4 F 2.02
5 F 0.2024 0.2024 0.0000  1 Hg 2.09
6 F 0.2767 0.2767 0.5533  1 Se 2.02
7 F 0.2767 0.7233 0.0000  1 Se 2.02
8 F 0.7233 0.2767 0.0000  1 Se 2.02
9 F 0.7233 0.7233 0.4467  1 Se 2.02
10 F 0.7976 0.7976 0.0000  1 Hg 2.09

Its formation energy from raw total energies is -44.03 kcal/mol of atoms. The calculation puts the volume at 21.10 Å³ per atom.


Here is a relaxed AsOs crystal from Alexandria. Energies are from PBE.

abc: 4.2020 4.2020 10.8821
angles: 90.00 90.00 120.00
With the nearest neighbours (Å) after each atom.
Element x y z (fractional)
1 As 0.3333 0.6667 0.1157  6 Os 2.83, 1 As 2.92
2 As 0.3333 0.6667 0.3843  6 Os 2.83, 1 As 2.92
3 As 0.6667 0.3333 0.6157  6 Os 2.83, 1 As 2.92
4 As 0.6667 0.3333 0.8843  6 Os 2.83, 1 As 2.92
5 Os 0.0000 0.0000 0.2500  3 Os 2.43
6 Os 0.0000 0.0000 0.7500  3 Os 2.43
7 Os 0.3333 0.6667 0.7500  3 Os 2.43
8 Os 0.6667 0.3333 0.2500  3 Os 2.43

The formation energy comes out at 710 meV/atom. The calculation puts the volume at 20.80 Å³ per atom.


Here is a relaxed AcLuSn crystal from Alexandria. Energies are from PBE.

abc: 7.5652 7.5652 7.5652
angles: 90.00 90.00 90.00
With the nearest neighbours (Å) after each atom.
Element x y z (fractional)
1 Ac 0.0000 0.0000 0.0000  4 Sn 3.28
2 Ac 0.0000 0.5000 0.5000  4 Sn 3.28
3 Ac 0.5000 0.0000 0.5000  4 Sn 3.28
4 Ac 0.5000 0.5000 0.0000  4 Sn 3.28
5 Lu 0.0000 0.0000 0.5000  4 Sn 3.28
6 Lu 0.0000 0.5000 0.0000  4 Sn 3.28
7 Lu 0.5000 0.0000 0.0000  4 Sn 3.28
8 Lu 0.5000 0.5000 0.5000  4 Sn 3.28
9 Sn 0.2500 0.2500 0.2500  4 Lu 3.28, 4 Ac 3.28
10 Sn 0.2500 0.7500 0.7500  4 Ac 3.28, 4 Lu 3.28
11 Sn 0.7500 0.2500 0.7500  4 Ac 3.28, 4 Lu 3.28
12 Sn 0.7500 0.7500 0.2500  4 Ac 3.28, 4 Lu 3.28

The calculation puts the polymorph energy (0 for the lowest one) at 58 meV/atom. The formation energy comes out at -273 meV/atom. The calculation puts the volume at 36.08 Å³ per atom.